Computed, not measured: a geometry-optimized SrTa2Os structure at the GGA-PBE level of DFT.

The structure in extended XYZ format:
```
4
Lattice="4.905 0.000 0.000 0.000 4.905 0.000 0.000 0.000 3.149" Properties=species:S:1:pos:R:3 pbc="T T T"
Sr 0.000 0.000 0.000
Ta 0.000 2.453 1.575
Ta 2.453 0.000 1.575
Os 2.453 2.453 0.000
```

Properties
D(E_F) = 0.967 states/eV/atom
ΔE_f = 0.9604 eV per atom
size of the total moment = 0.000 μB per formula unit
total DFT energy (no corrections) = -32.8 eV per formula unit
SG = No. 123

Computed, not measured: a geometry-optimized SrTaOs2 structure at the GGA-PBE level of DFT.

The structure in extended XYZ format:
```
4
Lattice="2.879 0.000 0.000 0.000 2.879 0.000 0.000 0.000 9.299" Properties=species:S:1:pos:R:3 pbc="T T T"
Sr 0.000 0.000 0.000
Ta 1.439 1.439 3.060
Os 0.000 0.000 5.145
Os 1.439 1.439 6.777
```

Properties
D(E_F) = 0.727 states/eV/atom
ΔE_f = 0.5443 eV per atom
size of the total moment = 0.000 μB per formula unit
total DFT energy (no corrections) = -33.8 eV per formula unit
SG = No. 99

Computed, not measured: a geometry-optimized SrTaOs2 structure at the GGA-PBE level of DFT.

The structure in extended XYZ format:
```
8
Lattice="-3.759 3.759 3.013 3.759 -3.759 3.013 3.759 3.759 -3.013" Properties=species:S:1:pos:R:3 pbc="T T T"
Sr 0.000 0.000 0.000
Sr 0.000 3.759 1.507
Ta 3.759 0.000 1.507
Ta 0.000 0.000 3.013
Os 1.879 -1.508 2.260
Os 2.251 1.879 0.753
Os 1.879 5.267 -0.753
Os 1.508 1.879 3.767
```

Properties
D(E_F) = 1.090 states/eV/atom
ΔE_f = 0.9231 eV per atom
size of the total moment = 0.000 μB per formula unit
total DFT energy (no corrections) = -32.3 eV per formula unit
SG = No. 122

Computed, not measured: a geometry-optimized SrTa4Os structure at the GGA-PBE level of DFT.

The structure in extended XYZ format:
```
6
Lattice="0.000 3.925 3.925 3.925 0.000 3.925 3.925 3.925 0.000" Properties=species:S:1:pos:R:3 pbc="T T T"
Sr 0.000 0.000 0.000
Ta 4.908 2.942 2.942
Ta 2.942 4.908 2.942
Ta 2.942 2.942 4.908
Ta 4.908 4.908 4.908
Os 1.963 1.963 1.963
```

Properties
D(E_F) = 1.033 states/eV/atom
ΔE_f = 0.7128 eV per atom
size of the total moment = 0.000 μB per formula unit
total DFT energy (no corrections) = -56.0 eV per formula unit
SG = No. 216

Computed, not measured: a geometry-optimized SrTa2Os structure at the GGA-PBE level of DFT.

The structure in extended XYZ format:
```
4
Lattice="-1.591 2.511 5.115 1.591 -2.511 5.115 1.591 2.511 -5.115" Properties=species:S:1:pos:R:3 pbc="T T T"
Sr 0.000 0.000 0.000
Ta 0.000 0.000 4.561
Ta 0.000 2.511 2.212
Os 1.591 0.000 2.593
```

Properties
D(E_F) = 0.892 states/eV/atom
ΔE_f = 0.7026 eV per atom
size of the total moment = 0.000 μB per formula unit
total DFT energy (no corrections) = -33.8 eV per formula unit
SG = No. 44

Computed, not measured: a geometry-optimized Sr2TaOs structure at the GGA-PBE level of DFT.

The structure in extended XYZ format:
```
4
Lattice="3.015 0.000 0.000 0.000 3.015 0.000 0.000 0.000 10.513" Properties=species:S:1:pos:R:3 pbc="T T T"
Sr 0.000 0.000 2.358
Sr 0.000 0.000 8.155
Ta 1.508 1.508 5.257
Os 1.508 1.508 0.000
```

Properties
D(E_F) = 1.290 states/eV/atom
ΔE_f = 1.1592 eV per atom
size of the total moment = 0.167 μB per formula unit
total DFT energy (no corrections) = -21.8 eV per formula unit
SG = No. 123

Computed, not measured: a geometry-optimized SrTaOs2 structure at the GGA-PBE level of DFT.

The structure in extended XYZ format:
```
4
Lattice="4.459 -1.546 0.000 4.459 1.546 0.000 -1.373 0.000 6.252" Properties=species:S:1:pos:R:3 pbc="T T T"
Sr 0.000 0.000 0.000
Ta 3.772 0.000 3.126
Os 1.125 0.000 4.136
Os 6.419 0.000 2.116
```

Properties
D(E_F) = 0.679 states/eV/atom
ΔE_f = 0.4971 eV per atom
size of the total moment = 0.000 μB per formula unit
total DFT energy (no corrections) = -34.0 eV per formula unit
SG = No. 12

Computed, not measured: a geometry-optimized Sr2TaOs structure at the GGA-PBE level of DFT.

The structure in extended XYZ format:
```
4
Lattice="0.000 3.598 3.598 3.598 0.000 3.598 3.598 3.598 0.000" Properties=species:S:1:pos:R:3 pbc="T T T"
Sr 0.000 0.000 0.000
Sr 1.799 1.799 1.799
Ta 3.598 3.598 3.598
Os 5.398 5.398 5.398
```

Properties
D(E_F) = 1.414 states/eV/atom
ΔE_f = 0.9917 eV per atom
size of the total moment = 0.000 μB per formula unit
total DFT energy (no corrections) = -22.5 eV per formula unit
SG = No. 216

Question: Look up the total DFT energy (no corrections) of the fourth one.
Answer: -56.0 eV per formula unit